Compound: La2Nd3YTe6
Source: Alexandria
Functional: PBE
Structure: relaxed

Calculated volume: 388.0 Å³/cell
Symmetry: C2/m (12)
Crystal system: monoclinic
DOS(E_F): 7.17 states/eV per cell
Energy relative to the elements, uncorrected: -141.06 kJ per mole of atoms
Total magnetization: 0.000 μB/atom

Unit cell a=10.055 b=10.055 c=9.052 alpha=102.69 beta=102.69 gamma=25.80
Fractional positions:
La (0.167, 0.167, 0.334)
La (0.833, 0.833, 0.666)
Nd (0.170, 0.170, 0.835)
Nd (0.500, 0.500, 0.500)
Nd (0.830, 0.830, 0.165)
Y (0.500, 0.500, 0.000)
Te (0.003, 0.003, 0.759)
Te (0.335, 0.335, 0.414)
Te (0.338, 0.338, 0.922)
Te (0.662, 0.662, 0.078)
Te (0.665, 0.665, 0.586)
Te (0.997, 0.997, 0.241)